Density functional theory data (meta-GGA SCAN) for a crystal of BeSbIrI2 relaxed with PBEsol.

* E_form (uncorrected): 1352 meV/atom
* uncorrected energy: -179.44 eV/f.u.

Cell: 4.769 4.848 4.848 Å, 90.00 90.00 90.00°
Sites, in units of the cell vectors:
I 0.000 0.000 0.500
I 0.000 0.500 0.000
Sb 0.500 0.000 0.000
Ir 0.500 0.500 0.500
Be 0.000 0.000 0.000



Density functional theory data (meta-GGA SCAN) for a crystal of BeTeIrI2 relaxed with PBEsol.

* E_form (uncorrected): 1301 meV/atom
* uncorrected energy: -179.68 eV/f.u.

Cell: 4.825 4.825 4.897 Å, 90.00 90.00 90.00°
Sites, in units of the cell vectors:
I 0.000 0.500 0.000
I 0.500 0.000 0.000
Be 0.000 0.000 0.000
Ir 0.500 0.500 0.500
Te 0.000 0.000 0.500



Density functional theory data (meta-GGA SCAN) for a crystal of KBeTe2I relaxed with PBEsol.

* E_form (uncorrected): 1015 meV/atom
* uncorrected energy: -118.85 eV/f.u.

Cell: 6.219 6.331 6.331 Å, 90.00 90.00 90.00°
Sites, in units of the cell vectors:
I 0.500 0.000 0.000
Be 0.500 0.500 0.500
K 0.000 0.000 0.000
Te 0.000 0.000 0.500
Te 0.000 0.500 0.000



Density functional theory data (meta-GGA SCAN) for a crystal of LaBeTe2I relaxed with PBEsol.

* polymorph energy (0 for the lowest one): 0 meV per atom
* E_form (uncorrected): -609 meV/atom
* uncorrected energy: -161.75 eV/f.u.

Cell: 5.090 5.152 5.152 Å, 90.00 90.00 90.00°
Sites, in units of the cell vectors:
I 0.500 0.000 0.000
Be 0.000 0.000 0.000
Te 0.000 0.000 0.500
Te 0.000 0.500 0.000
La 0.500 0.500 0.500



Density functional theory data (meta-GGA SCAN) for a crystal of LaBeTe2I relaxed with PBEsol.

* polymorph energy (0 for the lowest one): 731 meV per atom
* E_form (uncorrected): 123 meV/atom
* uncorrected energy: -158.09 eV/f.u.

Cell: 6.095 6.109 6.109 Å, 90.00 90.00 90.00°
Sites, in units of the cell vectors:
I 0.500 0.000 0.000
Be 0.500 0.500 0.500
Te 0.000 0.000 0.500
Te 0.000 0.500 0.000
La 0.000 0.000 0.000



Density functional theory data (meta-GGA SCAN) for a crystal of LiBeI2 relaxed with PBEsol.

* E_form (uncorrected): 137 meV/atom
* uncorrected energy: -79.68 eV/f.u.

Cell: 5.173 5.173 5.173 Å, 60.00 60.00 60.00°
Sites, in units of the cell vectors:
I 0.250 0.250 0.250
I 0.750 0.750 0.750
Be 0.500 0.500 0.500
Li 0.000 0.000 0.000



Density functional theory data (meta-GGA SCAN) for a crystal of LiMgBeI2 relaxed with PBEsol.

* E_form (uncorrected): 415 meV/atom
* uncorrected energy: -83.13 eV/f.u.

Cell: 5.594 5.594 6.044 Å, 90.00 90.00 90.00°
Sites, in units of the cell vectors:
I 0.000 0.500 0.000
I 0.500 0.000 0.000
Be 0.500 0.500 0.500
Mg 0.000 0.000 0.000
Li 0.000 0.000 0.500



Density functional theory data (meta-GGA SCAN) for a crystal of LiBeSbI2 relaxed with PBEsol.

* E_form (uncorrected): 667 meV/atom
* uncorrected energy: -114.15 eV/f.u.

Cell: 5.063 5.227 5.227 Å, 90.00 90.00 90.00°
Sites, in units of the cell vectors:
I 0.000 0.000 0.500
I 0.000 0.500 0.000
Sb 0.500 0.000 0.000
Li 0.000 0.000 0.000
Be 0.500 0.500 0.500



Density functional theory data (meta-GGA SCAN) for a crystal of Mg2BeNbI relaxed with PBEsol.

* E_form (uncorrected): 1226 meV/atom
* uncorrected energy: -78.04 eV/f.u.

Cell: 4.349 5.664 5.664 Å, 90.00 90.00 90.00°
Sites, in units of the cell vectors:
I 0.500 0.500 0.500
Be 0.500 0.000 0.000
Nb 0.000 0.000 0.000
Mg 0.000 0.000 0.500
Mg 0.000 0.500 0.000



Density functional theory data (meta-GGA SCAN) for a crystal of MgBeSb2I relaxed with PBEsol.

* E_form (uncorrected): 883 meV/atom
* uncorrected energy: -116.17 eV/f.u.

Cell: 4.752 5.429 5.429 Å, 90.00 90.00 90.00°
Sites, in units of the cell vectors:
I 0.500 0.500 0.500
Sb 0.000 0.000 0.500
Sb 0.000 0.500 0.000
Mg 0.000 0.000 0.000
Be 0.500 0.000 0.000



Density functional theory data (meta-GGA SCAN) for a crystal of MnBeSb2I relaxed with PBEsol.

* E_form (uncorrected): 634 meV/atom
* uncorrected energy: -130.70 eV/f.u.

Cell: 4.814 4.814 5.290 Å, 90.00 90.00 90.00°
Sites, in units of the cell vectors:
I 0.000 0.000 0.500
Sb 0.000 0.500 0.000
Sb 0.500 0.000 0.000
Mn 0.500 0.500 0.500
Be 0.000 0.000 0.000



Density functional theory data (meta-GGA SCAN) for a crystal of BeTeMoI2 relaxed with PBEsol.

* E_form (uncorrected): 850 meV/atom
* uncorrected energy: -145.72 eV/f.u.

Cell: 5.161 5.513 5.513 Å, 90.00 90.00 90.00°
Sites, in units of the cell vectors:
I 0.000 0.000 0.500
I 0.000 0.500 0.000
Be 0.500 0.500 0.500
Mo 0.000 0.000 0.000
Te 0.500 0.000 0.000



Number 10 is which compound?
MgBeSb2I



Look up the uncorrected energy of the third one.
-118.85 eV/f.u.



Look up the E_form (uncorrected) of the seventh one.
415 meV/atom